[1]
# LaHo2Tm4Th, optimized geometry, DFT GGA-PBE
# Energy relative to the elements, eV per atom: 0.039
# Size of the total moment, μB per cell: 0.00
data_LaHo2Tm4Th
_cell_length_a 5.0578
_cell_length_b 5.0711
_cell_length_c 9.8586
_cell_angle_alpha 90.00
_cell_angle_beta 90.00
_cell_angle_gamma 90.00
_symmetry_space_group_name_H-M 'P m m m'
_symmetry_Int_Tables_number 47
_symmetry_space_group_name_Hall '-P 2 2'
loop_
_atom_site_label
_atom_site_type_symbol
_atom_site_fract_x
_atom_site_fract_y
_atom_site_fract_z
_atom_site_occupancy
La1 La 0.0000 0.0000 0.0000 1
Ho1 Ho 0.0000 0.0000 0.5000 1
Ho2 Ho 0.5000 0.5000 0.0000 1
Tm1 Tm 0.0000 0.5000 0.2557 1
Tm2 Tm 0.5000 0.0000 0.2562 1
Th1 Th 0.5000 0.5000 0.5000 1


[2]
# LaHo6Tm3Th2, optimized geometry, DFT GGA-PBE
# Energy relative to the elements, eV per atom: 0.035
# Size of the total moment, μB per cell: 0.00
data_LaHo6Tm3Th2
_cell_length_a 6.1609
_cell_length_b 10.6594
_cell_length_c 11.6830
_cell_angle_alpha 90.00
_cell_angle_beta 100.14
_cell_angle_gamma 90.00
_symmetry_space_group_name_H-M 'C 1 2/m 1'
_symmetry_Int_Tables_number 12
_symmetry_space_group_name_Hall '-C 2y'
loop_
_atom_site_label
_atom_site_type_symbol
_atom_site_fract_x
_atom_site_fract_y
_atom_site_fract_z
_atom_site_occupancy
La1 La 0.0000 0.0000 0.0000 1
Ho1 Ho 0.2463 0.3309 0.7493 1
Ho2 Ho 0.2462 0.5000 0.2509 1
Tm1 Tm 0.0000 0.1666 0.5000 1
Tm2 Tm 0.0000 0.5000 0.5000 1
Th1 Th 0.0000 0.3333 0.0000 1


[3]
# La2HoTmTh, optimized geometry, DFT GGA-PBE
# Energy relative to the elements, eV per atom: 0.323
# Size of the total moment, μB per cell: 0.00
data_La2HoTmTh
_cell_length_a 9.1945
_cell_length_b 6.3237
_cell_length_c 6.4854
_cell_angle_alpha 90.00
_cell_angle_beta 109.80
_cell_angle_gamma 90.00
_symmetry_space_group_name_H-M 'P 1 2/c 1'
_symmetry_Int_Tables_number 13
_symmetry_space_group_name_Hall '-P 2yc'
loop_
_atom_site_label
_atom_site_type_symbol
_atom_site_fract_x
_atom_site_fract_y
_atom_site_fract_z
_atom_site_occupancy
La1 La 0.1842 0.1942 0.3404 1
Ho1 Ho 0.0000 0.3323 0.7500 1
Tm1 Tm 0.5000 0.0027 0.7500 1
Th1 Th 0.5000 0.5000 0.0000 1


[4]
# LaHo2Tm5Th, optimized geometry, DFT GGA-PBE
# Energy relative to the elements, eV per atom: 0.305
# Size of the total moment, μB per cell: 0.00
data_LaHo2Tm5Th
_cell_length_a 8.6405
_cell_length_b 8.6405
_cell_length_c 15.2332
_cell_angle_alpha 90.00
_cell_angle_beta 90.00
_cell_angle_gamma 90.00
_symmetry_space_group_name_H-M 'I 4/m c m'
_symmetry_Int_Tables_number 140
_symmetry_space_group_name_Hall '-I 4 2c'
loop_
_atom_site_label
_atom_site_type_symbol
_atom_site_fract_x
_atom_site_fract_y
_atom_site_fract_z
_atom_site_occupancy
La1 La 0.0000 0.5000 0.2500 1
Ho1 Ho 0.1163 0.3837 0.0000 1
Tm1 Tm 0.0000 0.0000 0.0000 1
Tm2 Tm 0.2064 0.2936 0.3656 1
Th1 Th 0.0000 0.0000 0.2500 1


[5]
# LaHoTmTh, optimized geometry, DFT GGA-PBE
# Excess energy over the best structure of this formula in the dataset, eV per atom: 0.0000
# Energy relative to the elements, eV per atom: 0.013
# Size of the total moment, μB per cell: 0.00
data_LaHoTmTh
_cell_length_a 3.6118
_cell_length_b 3.6118
_cell_length_c 9.9810
_cell_angle_alpha 90.00
_cell_angle_beta 90.00
_cell_angle_gamma 90.00
_symmetry_space_group_name_H-M 'P 4 m m'
_symmetry_Int_Tables_number 99
_symmetry_space_group_name_Hall 'P 4 -2'
loop_
_atom_site_label
_atom_site_type_symbol
_atom_site_fract_x
_atom_site_fract_y
_atom_site_fract_z
_atom_site_occupancy
La1 La 0.0000 0.0000 0.0000 1
Ho1 Ho 0.5000 0.5000 0.2636 1
Tm1 Tm 0.5000 0.5000 0.7399 1
Th1 Th 0.0000 0.0000 0.5030 1


[6]
# LaHo5Tm2Th, optimized geometry, DFT GGA-PBE
# Energy relative to the elements, eV per atom: 0.172
# Size of the total moment, μB per cell: 0.00
data_LaHo5Tm2Th
_cell_length_a 5.7062
_cell_length_b 21.0874
_cell_length_c 9.7322
_cell_angle_alpha 90.00
_cell_angle_beta 90.00
_cell_angle_gamma 90.00
_symmetry_space_group_name_H-M 'C m c 21'
_symmetry_Int_Tables_number 36
_symmetry_space_group_name_Hall 'C 2c -2'
loop_
_atom_site_label
_atom_site_type_symbol
_atom_site_fract_x
_atom_site_fract_y
_atom_site_fract_z
_atom_site_occupancy
La1 La 0.0000 0.0953 0.0000 1
Ho1 Ho 0.0000 0.0289 0.3203 1
Ho2 Ho 0.0000 0.1074 0.6134 1
Ho3 Ho 0.0000 0.1949 0.2961 1
Ho4 Ho 0.0000 0.2336 0.9168 1
Ho5 Ho 0.0000 0.4868 0.5995 1
Tm1 Tm 0.0000 0.3658 0.2861 1
Tm2 Tm 0.0000 0.3885 0.9033 1
Th1 Th 0.0000 0.3075 0.6051 1


[7]
# LaHoTm5Th2, optimized geometry, DFT GGA-PBE
# Energy relative to the elements, eV per atom: 0.334
# Size of the total moment, μB per cell: 0.00
data_LaHoTm5Th2
_cell_length_a 8.9130
_cell_length_b 8.9130
_cell_length_c 14.9358
_cell_angle_alpha 90.00
_cell_angle_beta 90.00
_cell_angle_gamma 90.00
_symmetry_space_group_name_H-M 'I 4/m c m'
_symmetry_Int_Tables_number 140
_symmetry_space_group_name_Hall '-I 4 2c'
loop_
_atom_site_label
_atom_site_type_symbol
_atom_site_fract_x
_atom_site_fract_y
_atom_site_fract_z
_atom_site_occupancy
La1 La 0.0000 0.0000 0.2500 1
Ho1 Ho 0.0000 0.5000 0.2500 1
Tm1 Tm 0.0000 0.0000 0.0000 1
Tm2 Tm 0.2058 0.2942 0.1357 1
Th1 Th 0.1183 0.3817 0.5000 1


[8]
# La3Ho6Tm2Th, optimized geometry, DFT GGA-PBE
# Energy relative to the elements, eV per atom: 0.023
# Size of the total moment, μB per cell: 0.00
data_La3Ho6Tm2Th
_cell_length_a 6.1927
_cell_length_b 10.7263
_cell_length_c 11.8407
_cell_angle_alpha 90.00
_cell_angle_beta 100.07
_cell_angle_gamma 90.00
_symmetry_space_group_name_H-M 'C 1 2/m 1'
_symmetry_Int_Tables_number 12
_symmetry_space_group_name_Hall '-C 2y'
loop_
_atom_site_label
_atom_site_type_symbol
_atom_site_fract_x
_atom_site_fract_y
_atom_site_fract_z
_atom_site_occupancy
La1 La 0.0000 0.0000 0.0000 1
La2 La 0.0000 0.3329 0.0000 1
Ho1 Ho 0.2466 0.3346 0.7436 1
Ho2 Ho 0.2493 0.5000 0.2562 1
Tm1 Tm 0.0000 0.1668 0.5000 1
Th1 Th 0.0000 0.5000 0.5000 1